# Zn2CrGaH PBE optimized geometry
data_Zn2CrGaH
_cell_length_a 3.710
_cell_length_b 4.306
_cell_length_c 3.710
_cell_angle_alpha 90.00
_cell_angle_beta 90.00
_cell_angle_gamma 90.00
_symmetry_space_group_name_H-M 'P 1'
_symmetry_Int_Tables_number 1
loop_
_symmetry_equiv_pos_as_xyz
'x,y,z'
loop_
_atom_site_label
_atom_site_type_symbol
_atom_site_fract_x
_atom_site_fract_y
_atom_site_fract_z
Cr1 Cr 0.500 0.500 0.500
Zn1 Zn 0.000 0.000 0.500
Zn2 Zn 0.500 0.000 0.000
Ga1 Ga 0.000 0.500 0.000
H1 H 0.000 0.000 0.000
# **Magnetization**: 0.000 μB per formula unit
# **Theoretical density**: 7.103 g cm⁻³
# **Uncorrected energy**: -16.8 eV per cell
# **D(E_F)**: 0.3707 states/eV per atom